Material: La4MgOs
Method: DFT, PBE
State: optimized geometry

The structure in POSCAR format:
```
La4MgOs
1.0
8.7924 0.0000 5.0763
2.9308 8.2895 5.0763
0.0000 0.0000 10.1526
La Mg Os
16 4 4
Direct
0.1926 0.8074 0.8074
0.8074 0.1926 0.8074
0.9381 0.5619 0.5619
0.5619 0.9381 0.5619
0.9381 0.5619 0.9381
0.4061 0.7818 0.4061
0.5619 0.5619 0.9381
0.1926 0.8074 0.1926
0.8074 0.8074 0.1926
0.7818 0.4061 0.4061
0.8074 0.1926 0.1926
0.1926 0.1926 0.8074
0.4061 0.4061 0.4061
0.9381 0.9381 0.5619
0.4061 0.4061 0.7818
0.5619 0.9381 0.9381
0.4840 0.1720 0.1720
0.1720 0.1720 0.1720
0.1720 0.4840 0.1720
0.1720 0.1720 0.4840
0.6122 0.6122 0.6122
0.6122 0.1635 0.6122
0.1635 0.6122 0.6122
0.6122 0.6122 0.1635
```

Values from the calculation:
Density of states at the Fermi level in states/eV per cell: 23.4
SG: F-43m, No. 216
E in hartree per atom: -0.2056